Density functional theory data (PBE) for TiReN3 after structural relaxation.

Cell: 6.778 6.778 5.348 Å, 98.50 98.50 84.06°
Fractional coordinates of all 20 atoms:
Ti: 0.089 0.911 0.750
Ti: 0.249 0.751 0.250
Ti: 0.751 0.249 0.750
Ti: 0.911 0.089 0.250
Re: 0.212 0.403 0.685
Re: 0.403 0.212 0.185
Re: 0.597 0.788 0.815
Re: 0.788 0.597 0.315
N: 0.023 0.203 0.631
N: 0.140 0.634 0.881
N: 0.203 0.023 0.131
N: 0.292 0.448 0.374
N: 0.366 0.860 0.619
N: 0.448 0.292 0.874
N: 0.552 0.708 0.126
N: 0.634 0.140 0.381
N: 0.708 0.552 0.626
N: 0.797 0.977 0.869
N: 0.860 0.366 0.119
N: 0.977 0.797 0.369

## Properties
- Crystal system: monoclinic
- Formation energy (no corrections): -2.02 eV per formula unit
- Uncorrected energy: -189.34 eV per cell
- Space group: C2/c, No. 15
- DOS(E_F): 0.829 states/eV per atom